# BaNa2CoF6 | the Alexandria database | GGA+U | relaxed
data_BaNa2CoF6
_space_group_name_H-M_alt 'P 1 21/c 1'
_space_group_IT_number 14
_cell_length_a 5.967
_cell_length_b 5.992
_cell_length_c 10.374
_cell_angle_alpha 90.00
_cell_angle_beta 123.33
_cell_angle_gamma 90.00
loop_
_space_group_symop_operation_xyz
'x,y,z'
'-x,-y,-z'
'-x,y+1/2,-z+1/2'
'x,-y+1/2,z+1/2'
loop_
_atom_site_label
_atom_site_type_symbol
_atom_site_fract_x
_atom_site_fract_y
_atom_site_fract_z
Ba1 Ba 0.000 0.000 0.000
Na1 Na 0.273 0.055 0.768
Co1 Co 0.500 0.000 0.500
F1 F 0.133 0.082 0.282
F2 F 0.305 0.650 0.089
F3 F 0.438 0.198 0.066
# * DOS at the Fermi energy: 0.00 states/eV/f.u.
# * V: 155.0 Å³/f.u.
# * energy: -4.9166 eV per atom